1.
This record from Alexandria describes a geometry-optimized Cr2OF structure. The functional is PBE+U.

Values from the calculation:
- space group = Fm-3m, No. 225
- offset from the most stable computed form (eV per formula unit) = 1.58
- total magnetization (μB per formula unit) = 9.000

Cell: 4.0566 4.0566 4.0566 Å, 60.00 60.00 60.00°
Last column: nearest neighbours and their distance in Å.
Positions (direct):
Cr 0.2500 0.2500 0.2500  4 O 2.48, 4 F 2.48
Cr 0.7500 0.7500 0.7500  4 O 2.48, 4 F 2.48
O 0.0000 0.0000 0.0000  8 Cr 2.48
F 0.5000 0.5000 0.5000  8 Cr 2.48

2.
This record from Alexandria describes a geometry-optimized CrOsOF2 structure. The functional is PBE+U.

Values from the calculation:
- space group = P4/mmm, No. 123
- offset from the most stable computed form (eV per formula unit) = 3.72
- total magnetization (μB per formula unit) = 4.225

Cell: 4.0660 4.0660 3.7687 Å, 90.00 90.00 90.00°
Last column: nearest neighbours and their distance in Å.
Positions (direct):
Cr 0.0000 0.0000 0.0000  2 O 1.88, 4 F 2.03
Os 0.5000 0.5000 0.5000  8 F 2.77, 4 O 2.88
O 0.0000 0.0000 0.5000  2 Cr 1.88
F 0.0000 0.5000 0.0000  2 Cr 2.03
F 0.5000 0.0000 0.0000  2 Cr 2.03

3.
This record from Alexandria describes a geometry-optimized CrOsOF2 structure. The functional is PBE+U.

Values from the calculation:
- space group = P4/mmm, No. 123
- offset from the most stable computed form (eV per formula unit) = 0.00
- total magnetization (μB per formula unit) = 4.504

Cell: 4.4235 4.4235 3.7142 Å, 90.00 90.00 90.00°
Last column: nearest neighbours and their distance in Å.
Positions (direct):
Cr 0.0000 0.0000 0.0000  8 F 2.89, 4 O 3.13
Os 0.5000 0.5000 0.5000  2 O 1.86
O 0.5000 0.5000 0.0000  2 Os 1.86
F 0.0000 0.5000 0.5000  2 Os 2.21
F 0.5000 0.0000 0.5000  2 Os 2.21

4.
This record from Alexandria describes a geometry-optimized CrPO4F structure. The functional is PBE+U.

Values from the calculation:
- uncorrected energy (eV per atom) = -6.957
- space group = P-1, No. 2
- total magnetization (μB per formula unit) = 1.998

Cell: 5.2051 5.2087 7.3138 Å, 107.41 107.49 97.89°
Last column: nearest neighbours and their distance in Å.
Positions (direct):
Cr 0.0000 0.0000 0.0000  4 O 1.91-1.94, 2 F 1.95
Cr 0.0000 0.0000 0.5000  4 O 1.91-1.94, 2 F 1.95
P 0.3328 0.6654 0.2510  4 O 1.54-1.55
P 0.6672 0.3346 0.7490  4 O 1.54-1.55
O 0.1464 0.7015 0.3830  1 P 1.55
O 0.2604 0.3612 0.1074  1 P 1.54
O 0.2944 0.8476 0.1157  1 P 1.55
O 0.3633 0.2551 0.6026  1 P 1.54
O 0.6367 0.7449 0.3974  1 P 1.54
O 0.7056 0.1524 0.8843  1 P 1.55
O 0.7396 0.6388 0.8926  1 P 1.54
O 0.8536 0.2985 0.6170  1 P 1.55
F 0.0888 0.9148 0.7508  2 Cr 1.95
F 0.9112 0.0852 0.2492  2 Cr 1.95

5.
This record from Alexandria describes a geometry-optimized CrPO2F structure. The functional is PBE+U.

Values from the calculation:
- uncorrected energy (eV per atom) = -5.222
- space group = P4/mmm, No. 123
- total magnetization (μB per formula unit) = 0.053

Cell: 3.7510 3.7510 4.0039 Å, 90.00 90.00 90.00°
Last column: nearest neighbours and their distance in Å.
Positions (direct):
Cr 0.0000 0.0000 0.0000  4 O 1.88, 2 F 2.00
P 0.5000 0.5000 0.5000  4 F 2.65, 8 O 2.74
O 0.0000 0.5000 0.0000  2 Cr 1.88
O 0.5000 0.0000 0.0000  2 Cr 1.88
F 0.0000 0.0000 0.5000  2 Cr 2.00

6.
This record from Alexandria describes a geometry-optimized CrPOF2 structure. The functional is PBE+U.

Values from the calculation:
- space group = P4/mmm, No. 123
- offset from the most stable computed form (eV per formula unit) = 0.00
- total magnetization (μB per formula unit) = 4.983

Cell: 4.3340 4.3340 3.5579 Å, 90.00 90.00 90.00°
Last column: nearest neighbours and their distance in Å.
Positions (direct):
Cr 0.0000 0.0000 0.0000  8 F 2.80, 4 O 3.06
P 0.5000 0.5000 0.5000  2 O 1.78
O 0.5000 0.5000 0.0000  2 P 1.78
F 0.0000 0.5000 0.5000  2 P 2.17
F 0.5000 0.0000 0.5000  2 P 2.17

7.
This record from Alexandria describes a geometry-optimized CrPO2F structure. The functional is PBE+U.

Values from the calculation:
- uncorrected energy (eV per atom) = -4.400
- space group = P4/mmm, No. 123
- total magnetization (μB per formula unit) = 3.186

Cell: 4.3345 4.3345 3.4705 Å, 90.00 90.00 90.00°
Last column: nearest neighbours and their distance in Å.
Positions (direct):
Cr 0.0000 0.0000 0.0000  8 O 2.78, 4 P 3.06
P 0.5000 0.5000 0.0000  2 F 1.74
O 0.0000 0.5000 0.5000  2 F 2.17
O 0.5000 0.0000 0.5000  2 F 2.17
F 0.5000 0.5000 0.5000  2 P 1.74

8.
This record from Alexandria describes a geometry-optimized CrPOF2 structure. The functional is PBE+U.

Values from the calculation:
- space group = P4/mmm, No. 123
- offset from the most stable computed form (eV per formula unit) = 0.14
- total magnetization (μB per formula unit) = 4.961

Cell: 3.9047 3.9047 4.1967 Å, 90.00 90.00 90.00°
Last column: nearest neighbours and their distance in Å.
Positions (direct):
Cr 0.0000 0.0000 0.0000  4 F 1.95, 2 O 2.10
P 0.5000 0.5000 0.5000  4 O 2.76, 8 F 2.87
O 0.0000 0.0000 0.5000  2 Cr 2.10
F 0.0000 0.5000 0.0000  2 Cr 1.95
F 0.5000 0.0000 0.0000  2 Cr 1.95

9.
This record from Alexandria describes a geometry-optimized CrPO2F structure. The functional is PBE+U.

Values from the calculation:
- uncorrected energy (eV per atom) = -5.888
- space group = P4/mmm, No. 123
- total magnetization (μB per formula unit) = 4.708

Cell: 3.5195 3.5195 4.7377 Å, 90.00 90.00 90.00°
Last column: nearest neighbours and their distance in Å.
Positions (direct):
Cr 0.0000 0.0000 0.0000  4 F 2.49
P 0.5000 0.5000 0.5000  4 O 1.76
O 0.0000 0.5000 0.5000  2 P 1.76
O 0.5000 0.0000 0.5000  2 P 1.76
F 0.5000 0.5000 0.0000  2 P 2.37, 4 Cr 2.49

10.
This record from Alexandria describes a geometry-optimized CrPO2F structure. The functional is PBE+U.

Values from the calculation:
- uncorrected energy (eV per atom) = -5.499
- space group = P4/mmm, No. 123
- total magnetization (μB per formula unit) = 0.888

Cell: 3.5646 3.5646 5.2467 Å, 90.00 90.00 90.00°
Last column: nearest neighbours and their distance in Å.
Positions (direct):
Cr 0.0000 0.0000 0.0000  4 O 1.78
P 0.0000 0.0000 0.5000  4 F 2.52, 2 Cr 2.62
O 0.0000 0.5000 0.0000  2 Cr 1.78
O 0.5000 0.0000 0.0000  2 Cr 1.78
F 0.5000 0.5000 0.5000  4 P 2.52

11.
This record from Alexandria describes a geometry-optimized CrPbOF2 structure. The functional is PBE+U.

Values from the calculation:
- space group = P4/mmm, No. 123
- offset from the most stable computed form (eV per formula unit) = 3.42
- total magnetization (μB per formula unit) = 4.913

Cell: 4.6427 4.6427 4.2760 Å, 90.00 90.00 90.00°
Last column: nearest neighbours and their distance in Å.
Positions (direct):
Cr 0.0000 0.0000 0.0000  8 F 3.16, 4 O 3.28
Pb 0.5000 0.5000 0.5000  2 O 2.14, 4 F 2.32
O 0.5000 0.5000 0.0000  2 Pb 2.14
F 0.0000 0.5000 0.5000  2 Pb 2.32
F 0.5000 0.0000 0.5000  2 Pb 2.32

12.
This record from Alexandria describes a geometry-optimized CrPbOF2 structure. The functional is PBE+U.

Values from the calculation:
- space group = P4/mmm, No. 123
- offset from the most stable computed form (eV per formula unit) = 0.00
- total magnetization (μB per formula unit) = 3.851

Cell: 4.1951 4.1951 4.1401 Å, 90.00 90.00 90.00°
Last column: nearest neighbours and their distance in Å.
Positions (direct):
Cr 0.0000 0.0000 0.0000  2 O 2.07, 4 F 2.10
Pb 0.5000 0.5000 0.5000  8 F 2.95, 4 O 2.97
O 0.0000 0.0000 0.5000  2 Cr 2.07
F 0.0000 0.5000 0.0000  2 Cr 2.10
F 0.5000 0.0000 0.0000  2 Cr 2.10